# 1
Below is crystalline LiNClF2 at its relaxed geometry, with properties calculated at the GGA-PBE level.

Cell: 3.4872 3.4872 6.1488 Å, 90.00 90.00 90.00°
Sites, in units of the cell vectors:
N: 0.0000 0.0000 0.5000
F: 0.0000 0.5000 0.0000
F: 0.5000 0.0000 0.0000
Li: 0.0000 0.0000 0.0000
Cl: 0.5000 0.5000 0.5000

Summary:
The space group is No. 123. The density of states at the Fermi level comes out at 0.286 states/eV per atom. The calculation puts the total magnetic moment at 2.67 μB per cell. As for the total energy: -3.1810 eV/atom. For the energy relative to the elements, uncorrected, the calculation gives -15 meV per atom.

# 2
Below is crystalline Sm4RuPb2 at its relaxed geometry, with properties calculated at the GGA-PBE level.

Cell: 5.1583 5.1583 9.1907 Å, 106.30 106.30 90.00°
Sites, in units of the cell vectors:
Pb: 0.6385 0.6385 0.2770
Pb: 0.3615 0.3615 0.7230
Ru: 0.0000 0.0000 0.0000
Sm: 0.8263 0.8263 0.6526
Sm: 0.1737 0.1737 0.3474
Sm: 0.0000 0.5000 0.0000
Sm: 0.5000 0.0000 0.0000

Summary:
The space group is No. 139. The density of states at the Fermi level comes out at 0.672 states/eV per atom. The calculation puts the total magnetic moment at 0.00 μB per cell. As for the total energy: -5.3548 eV/atom. The formation energy is -0.273 eV/atom.